VASP calculation (GGA-PBE) on a relaxed structure of Na3SeBr.

The structure belongs to space group Pm-3m (No. 221); the cell edges are 5.4621, 5.4621 and 5.4621 Å and the angles 90.00°, 90.00° and 90.00°. The inequivalent atoms are Na at (0.0000, 0.0000, 0.5000), Se at (0.0000, 0.0000, 0.0000) and Br at (0.5000, 0.5000, 0.5000).

The calculation puts the volume at 163.0 Å³ per cell. The total moment is 0.00 μB per formula unit. The value obtained for the relative energy among the computed polymorphs is 71 meV per atom.